[1]
VASP calculation (meta-GGA SCAN) on a PBEsol-optimized structure of LiNb3H.

Properties
* DOS at the Fermi energy: 4.90 states/eV/f.u.
* uncorrected energy: -104.33 eV for the cell shown
* crystal system: cubic
* M_tot: 0.0 μB per formula unit
* SG: Pm-3m (221)

Lattice parameters (Å, degrees): 4.122 4.122 4.122 90.00 90.00 90.00
Sites, in units of the cell vectors:
Li1 0.000 0.000 0.000
Nb1 0.000 0.500 0.500
Nb2 0.500 0.000 0.500
Nb3 0.500 0.500 0.000
H1 0.500 0.500 0.500


[2]
VASP calculation (meta-GGA SCAN) on a PBEsol-optimized structure of Co2SiAu.

Properties
* DOS at the Fermi energy: 2.92 states/eV/f.u.
* raw formation energy: 0.06 eV per atom
* crystal system: trigonal
* M_tot: 1.6 μB per formula unit
* SG: R-3m (166)

Lattice parameters (Å, degrees): 8.056 8.056 8.056 19.14 19.14 19.14
Sites, in units of the cell vectors:
Co1 0.238 0.238 0.238
Co2 0.762 0.762 0.762
Si1 0.500 0.500 0.500
Au1 0.000 0.000 0.000


[3]
VASP calculation (meta-GGA SCAN) on a PBEsol-optimized structure of Cr4OF11.

Properties
* energy above the most stable polymorph in this dataset: 0.0001 eV/atom
* raw formation energy: -2.99 eV per atom
* crystal system: triclinic
* M_tot: 11.0 μB per formula unit
* SG: P-1 (2)

Lattice parameters (Å, degrees): 4.911 5.190 16.281 84.69 81.33 61.76
Sites, in units of the cell vectors:
Cr1 0.000 0.000 0.000
Cr2 0.118 0.144 0.629
Cr3 0.230 0.277 0.255
Cr4 0.380 0.367 0.874
Cr5 0.500 0.500 0.500
Cr6 0.620 0.633 0.126
Cr7 0.770 0.723 0.745
Cr8 0.882 0.856 0.371
O1 0.070 0.434 0.687
O2 0.930 0.566 0.313
F1 0.029 0.033 0.281
F2 0.033 0.412 0.157
F3 0.185 0.818 0.563
F4 0.209 0.850 0.096
F5 0.222 0.220 0.970
F6 0.276 0.282 0.530
F7 0.289 0.655 0.404
F8 0.322 0.684 0.937
F9 0.445 0.049 0.811
F10 0.464 0.098 0.346
F11 0.469 0.476 0.223
F12 0.531 0.524 0.777
F13 0.536 0.902 0.654
F14 0.555 0.951 0.189
F15 0.678 0.316 0.063
F16 0.711 0.345 0.596
F17 0.724 0.718 0.470
F18 0.778 0.780 0.030
F19 0.791 0.150 0.904
F20 0.815 0.182 0.437
F21 0.967 0.588 0.843
F22 0.971 0.967 0.719


[4]
VASP calculation (meta-GGA SCAN) on a PBEsol-optimized structure of BaLi2CuBr.

Properties
* DOS at the Fermi energy: 1.65 states/eV/f.u.
* raw formation energy: 0.55 eV per atom
* crystal system: tetragonal
* M_tot: 0.0 μB per formula unit
* SG: P4/mmm (123)

Lattice parameters (Å, degrees): 6.713 6.713 5.859 90.00 90.00 90.00
Sites, in units of the cell vectors:
Ba1 0.000 0.000 0.000
Li1 0.000 0.500 0.000
Li2 0.500 0.000 0.000
Cu1 0.500 0.500 0.500
Br1 0.000 0.000 0.500


[5]
VASP calculation (meta-GGA SCAN) on a PBEsol-optimized structure of HfGe2BiI.

Properties
* DOS at the Fermi energy: 4.12 states/eV/f.u.
* raw formation energy: 1.58 eV per atom
* crystal system: tetragonal
* M_tot: 0.0 μB per formula unit
* SG: P4/mmm (123)

Lattice parameters (Å, degrees): 5.211 5.211 5.723 90.00 90.00 90.00
Sites, in units of the cell vectors:
Hf1 0.000 0.000 0.000
Ge1 0.000 0.500 0.500
Ge2 0.500 0.000 0.500
Bi1 0.500 0.500 0.000
I1 0.500 0.500 0.500


[6]
VASP calculation (meta-GGA SCAN) on a PBEsol-optimized structure of MnHgBr2.

Properties
* energy above the most stable polymorph in this dataset: 0.3331 eV/atom
* raw formation energy: -0.54 eV per atom
* crystal system: orthorhombic
* M_tot: 5.0 μB per formula unit
* SG: Imm2 (44)

Lattice parameters (Å, degrees): 5.883 5.883 5.883 145.58 118.60 72.33
Sites, in units of the cell vectors:
Mn1 0.000 0.000 0.000
Hg1 0.229 0.729 0.500
Br1 0.483 0.483 0.000
Br2 0.806 0.306 0.500


[7]
VASP calculation (meta-GGA SCAN) on a PBEsol-optimized structure of KC3.

Properties
* formation enthalpy at 0 K: 3977 meV per atom
* DOS at the Fermi energy: 1.21 states/eV/f.u.
* crystal system: cubic
* M_tot: 0.0 μB per formula unit
* SG: Fm-3m (225)

Lattice parameters (Å, degrees): 4.018 4.018 4.018 60.00 60.00 60.00
Sites, in units of the cell vectors:
K1 0.000 0.000 0.000
C1 0.250 0.250 0.250
C2 0.500 0.500 0.500
C3 0.750 0.750 0.750


[8]
VASP calculation (meta-GGA SCAN) on a PBEsol-optimized structure of LaP4Se.

Properties
* DOS at the Fermi energy: 2.38 states/eV/f.u.
* raw formation energy: -0.33 eV per atom
* crystal system: cubic
* M_tot: 0.0 μB per formula unit
* SG: F-43m (216)

Lattice parameters (Å, degrees): 5.397 5.397 5.397 60.00 60.00 60.00
Sites, in units of the cell vectors:
La1 0.000 0.000 0.000
P1 0.394 0.394 0.394
P2 0.394 0.394 0.819
P3 0.394 0.819 0.394
P4 0.819 0.394 0.394
Se1 0.750 0.750 0.750


[9]
VASP calculation (meta-GGA SCAN) on a PBEsol-optimized structure of LiCu2Ni.

Properties
* energy above the most stable polymorph in this dataset: 0.0123 eV/atom
* formation enthalpy at 0 K: 9 meV per atom
* DOS at the Fermi energy: 1.90 states/eV/f.u.
* crystal system: monoclinic
* M_tot: 0.0 μB per formula unit
* SG: Cm (8)

Lattice parameters (Å, degrees): 4.357 4.357 4.330 98.87 98.87 33.05
Sites, in units of the cell vectors:
Li1 0.000 0.000 0.000
Cu1 0.244 0.244 0.753
Cu2 0.498 0.498 0.493
Ni1 0.755 0.755 0.262


[10]
VASP calculation (meta-GGA SCAN) on a PBEsol-optimized structure of Co3SF.

Properties
* DOS at the Fermi energy: 3.79 states/eV/f.u.
* raw formation energy: 0.08 eV per atom
* crystal system: cubic
* M_tot: 6.1 μB per formula unit
* SG: Pm-3m (221)

Lattice parameters (Å, degrees): 3.944 3.944 3.944 90.00 90.00 90.00
Sites, in units of the cell vectors:
Co1 0.000 0.000 0.500
Co2 0.000 0.500 0.000
Co3 0.500 0.000 0.000
S1 0.500 0.500 0.500
F1 0.000 0.000 0.000


[11]
VASP calculation (meta-GGA SCAN) on a PBEsol-optimized structure of Nb3ReAg.

Properties
* formation enthalpy at 0 K: 1130 meV per atom
* DOS at the Fermi energy: 4.00 states/eV/f.u.
* crystal system: cubic
* M_tot: 0.0 μB per formula unit
* SG: Pm-3m (221)

Lattice parameters (Å, degrees): 4.799 4.799 4.799 90.00 90.00 90.00
Sites, in units of the cell vectors:
Nb1 0.000 0.000 0.500
Nb2 0.000 0.500 0.000
Nb3 0.500 0.000 0.000
Re1 0.000 0.000 0.000
Ag1 0.500 0.500 0.500


[12]
VASP calculation (meta-GGA SCAN) on a PBEsol-optimized structure of KIrPb2Cl.

Properties
* DOS at the Fermi energy: 1.75 states/eV/f.u.
* raw formation energy: -0.36 eV per atom
* crystal system: tetragonal
* M_tot: 0.0 μB per formula unit
* SG: P4/mmm (123)

Lattice parameters (Å, degrees): 5.091 5.091 6.305 90.00 90.00 90.00
Sites, in units of the cell vectors:
K1 0.000 0.000 0.000
Ir1 0.000 0.000 0.500
Pb1 0.000 0.500 0.500
Pb2 0.500 0.000 0.500
Cl1 0.500 0.500 0.000


[13]
VASP calculation (meta-GGA SCAN) on a PBEsol-optimized structure of Ca3CoHg.

Properties
* formation enthalpy at 0 K: 298 meV per atom
* DOS at the Fermi energy: 3.75 states/eV/f.u.
* crystal system: cubic
* M_tot: 2.1 μB per formula unit
* SG: Pm-3m (221)

Lattice parameters (Å, degrees): 5.658 5.658 5.658 90.00 90.00 90.00
Sites, in units of the cell vectors:
Ca1 0.000 0.000 0.500
Ca2 0.000 0.500 0.000
Ca3 0.500 0.000 0.000
Co1 0.500 0.500 0.500
Hg1 0.000 0.000 0.000


[14]
VASP calculation (meta-GGA SCAN) on a PBEsol-optimized structure of Sb2HCF.

Properties
* DOS at the Fermi energy: 1.51 states/eV/f.u.
* uncorrected energy: -87.07 eV for the cell shown
* crystal system: tetragonal
* M_tot: 0.0 μB per formula unit
* SG: P4/mmm (123)

Lattice parameters (Å, degrees): 4.356 4.356 3.480 90.00 90.00 90.00
Sites, in units of the cell vectors:
Sb1 0.000 0.500 0.000
Sb2 0.500 0.000 0.000
H1 0.000 0.000 0.000
C1 0.500 0.500 0.500
F1 0.000 0.000 0.500


[15]
VASP calculation (meta-GGA SCAN) on a PBEsol-optimized structure of Sn2As2Pb.

Properties
* formation enthalpy at 0 K: 210 meV per atom
* DOS at the Fermi energy: 2.35 states/eV/f.u.
* crystal system: tetragonal
* M_tot: 0.0 μB per formula unit
* SG: I4/mmm (139)

Lattice parameters (Å, degrees): 9.020 9.020 9.020 155.45 155.45 35.00
Sites, in units of the cell vectors:
Sn1 0.111 0.111 0.000
Sn2 0.889 0.889 0.000
As1 0.250 0.750 0.500
As2 0.750 0.250 0.500
Pb1 0.500 0.500 0.000


[16]
VASP calculation (meta-GGA SCAN) on a PBEsol-optimized structure of LiPt2W.

Properties
* formation enthalpy at 0 K: -6 meV per atom
* DOS at the Fermi energy: 2.08 states/eV/f.u.
* crystal system: orthorhombic
* M_tot: 0.0 μB per formula unit
* SG: Cmm2 (35)

Lattice parameters (Å, degrees): 2.681 2.681 9.347 90.00 90.00 116.12
Sites, in units of the cell vectors:
Li1 0.000 0.000 0.000
Pt1 0.000 0.000 0.488
Pt2 0.500 0.500 0.225
W1 0.500 0.500 0.729


[17]
VASP calculation (meta-GGA SCAN) on a PBEsol-optimized structure of ScTc2Ru.

Properties
* energy above the most stable polymorph in this dataset: 0.0697 eV/atom
* formation enthalpy at 0 K: -96 meV per atom
* DOS at the Fermi energy: 3.43 states/eV/f.u.
* crystal system: orthorhombic
* M_tot: 0.0 μB per formula unit
* SG: Imm2 (44)

Lattice parameters (Å, degrees): 5.128 5.128 5.128 145.44 128.28 63.70
Sites, in units of the cell vectors:
Sc1 0.000 0.000 0.000
Tc1 0.505 0.505 0.000
Tc2 0.741 0.241 0.500
Ru1 0.257 0.757 0.500


[18]
VASP calculation (meta-GGA SCAN) on a PBEsol-optimized structure of BiAs2H.

Properties
* DOS at the Fermi energy: 1.27 states/eV/f.u.
* uncorrected energy: -240.46 eV for the cell shown
* crystal system: tetragonal
* M_tot: 0.0 μB per formula unit
* SG: I-42d (122)

Lattice parameters (Å, degrees): 6.444 6.444 6.444 128.78 128.78 75.37
Sites, in units of the cell vectors:
Bi1 0.000 0.000 0.000
Bi2 0.750 0.250 0.500
As1 0.267 0.625 0.142
As2 0.375 0.517 0.642
As3 0.483 0.125 0.858
As4 0.875 0.733 0.358
H1 0.250 0.750 0.500
H2 0.500 0.500 0.000


[19]
VASP calculation (meta-GGA SCAN) on a PBEsol-optimized structure of TcBr3O.

Properties
* DOS at the Fermi energy: 7.92 states/eV/f.u.
* raw formation energy: 0.51 eV per atom
* crystal system: cubic
* M_tot: 5.3 μB per formula unit
* SG: Pm-3m (221)

Lattice parameters (Å, degrees): 4.993 4.993 4.993 90.00 90.00 90.00
Sites, in units of the cell vectors:
Tc1 0.000 0.000 0.000
Br1 0.000 0.000 0.500
Br2 0.000 0.500 0.000
Br3 0.500 0.000 0.000
O1 0.500 0.500 0.500


[20]
VASP calculation (meta-GGA SCAN) on a PBEsol-optimized structure of Cs2CaTcSe.

Properties
* DOS at the Fermi energy: 3.50 states/eV/f.u.
* raw formation energy: 0.31 eV per atom
* crystal system: tetragonal
* M_tot: 3.6 μB per formula unit
* SG: P4/mmm (123)

Lattice parameters (Å, degrees): 6.758 6.758 5.437 90.00 90.00 90.00
Sites, in units of the cell vectors:
Cs1 0.000 0.500 0.000
Cs2 0.500 0.000 0.000
Ca1 0.000 0.000 0.500
Tc1 0.500 0.500 0.500
Se1 0.000 0.000 0.000


[21]
VASP calculation (meta-GGA SCAN) on a PBEsol-optimized structure of SrNbSe2.

Properties
* DOS at the Fermi energy: 2.28 states/eV/f.u.
* raw formation energy: -0.88 eV per atom
* crystal system: tetragonal
* M_tot: 2.0 μB per formula unit
* SG: I-42d (122)

Lattice parameters (Å, degrees): 8.146 8.146 8.146 137.48 137.48 61.71
Sites, in units of the cell vectors:
Sr1 0.000 0.000 0.000
Sr2 0.750 0.250 0.500
Nb1 0.250 0.750 0.500
Nb2 0.500 0.500 0.000
Se1 0.202 0.625 0.077
Se2 0.375 0.452 0.577
Se3 0.548 0.125 0.923
Se4 0.875 0.798 0.423


[22]
VASP calculation (meta-GGA SCAN) on a PBEsol-optimized structure of LiY2Mo.

Properties
* energy above the most stable polymorph in this dataset: 0.0938 eV/atom
* formation enthalpy at 0 K: 540 meV per atom
* DOS at the Fermi energy: 3.57 states/eV/f.u.
* crystal system: tetragonal
* M_tot: 0.0 μB per formula unit
* SG: P4mm (99)

Lattice parameters (Å, degrees): 3.735 3.735 6.296 90.00 90.00 90.00
Sites, in units of the cell vectors:
Li1 0.000 0.000 0.000
Y1 0.000 0.000 0.422
Y2 0.500 0.500 0.755
Mo1 0.500 0.500 0.241


[23]
VASP calculation (meta-GGA SCAN) on a PBEsol-optimized structure of CsGe2Ir.

Properties
* formation enthalpy at 0 K: -331 meV per atom
* crystal system: tetragonal
* M_tot: 0.0 μB per formula unit
* SG: I4_1/amd (141)

Lattice parameters (Å, degrees): 7.889 7.889 7.889 131.19 131.19 71.51
Sites, in units of the cell vectors:
Cs1 0.375 0.625 0.750
Cs2 0.625 0.375 0.250
Ge1 0.000 0.000 0.000
Ge2 0.000 0.000 0.500
Ge3 0.000 0.500 0.000
Ge4 0.500 0.000 0.500
Ir1 0.125 0.875 0.250
Ir2 0.875 0.125 0.750


[24]
VASP calculation (meta-GGA SCAN) on a PBEsol-optimized structure of Rb2BiAs2.

Properties
* formation enthalpy at 0 K: -370 meV per atom
* DOS at the Fermi energy: 2.35 states/eV/f.u.
* crystal system: tetragonal
* M_tot: 0.0 μB per formula unit
* SG: P4/mbm (127)

Lattice parameters (Å, degrees): 7.550 7.550 5.492 90.00 90.00 90.00
Sites, in units of the cell vectors:
Rb1 0.180 0.320 0.000
Rb2 0.320 0.820 0.000
Rb3 0.680 0.180 0.000
Rb4 0.820 0.680 0.000
Bi1 0.000 0.000 0.500
Bi2 0.500 0.500 0.500
As1 0.114 0.614 0.500
As2 0.386 0.114 0.500
As3 0.614 0.886 0.500
As4 0.886 0.386 0.500


[25]
VASP calculation (meta-GGA SCAN) on a PBEsol-optimized structure of SrOs2Br.

Properties
* energy above the most stable polymorph in this dataset: 0.5059 eV/atom
* DOS at the Fermi energy: 3.70 states/eV/f.u.
* raw formation energy: 1.32 eV per atom
* crystal system: orthorhombic
* M_tot: 0.0 μB per formula unit
* SG: Cmmm (65)

Lattice parameters (Å, degrees): 5.863 5.863 2.866 90.00 90.00 126.99
Sites, in units of the cell vectors:
Sr1 0.000 0.000 0.000
Os1 0.000 0.500 0.500
Os2 0.500 0.000 0.500
Br1 0.500 0.500 0.000


[26]
VASP calculation (meta-GGA SCAN) on a PBEsol-optimized structure of Ca3MgMn.

Properties
* energy above the most stable polymorph in this dataset: 0.0000 eV/atom
* formation enthalpy at 0 K: 361 meV per atom
* DOS at the Fermi energy: 3.33 states/eV/f.u.
* crystal system: cubic
* M_tot: 2.3 μB per formula unit
* SG: Pm-3m (221)

Lattice parameters (Å, degrees): 5.456 5.456 5.456 90.00 90.00 90.00
Sites, in units of the cell vectors:
Ca1 0.000 0.000 0.500
Ca2 0.000 0.500 0.000
Ca3 0.500 0.000 0.000
Mg1 0.500 0.500 0.500
Mn1 0.000 0.000 0.000


[27]
VASP calculation (meta-GGA SCAN) on a PBEsol-optimized structure of ScIn2Mo.

Properties
* energy above the most stable polymorph in this dataset: 0.0000 eV/atom
* formation enthalpy at 0 K: -164 meV per atom
* DOS at the Fermi energy: 1.83 states/eV/f.u.
* crystal system: tetragonal
* M_tot: 0.0 μB per formula unit
* SG: I4/mmm (139)

Lattice parameters (Å, degrees): 5.223 5.223 5.223 132.73 132.73 69.08
Sites, in units of the cell vectors:
Sc1 0.000 0.000 0.000
In1 0.250 0.750 0.500
In2 0.750 0.250 0.500
Mo1 0.500 0.500 0.000